The following is a DFT calculation (PBE) of crystalline MnReTcSe at its relaxed geometry.

Output
The distance to the lowest polymorph of the same formula comes out at 181 meV/atom. The total magnetic moment is 0.00 μB/f.u. Its space group is No. 38. The raw formation energy is 0.327 eV per atom. The value obtained for the density of states at the Fermi level is 6.647 states/eV/cell.

abc: 3.9420 2.8439 10.0463
angles: 90.00 90.00 90.00
Last column: nearest neighbours and their distance in Å.
Fractional coordinates of all 8 atoms:
Mn: 0.5000 0.0000 0.3659  2 Se 2.31
Mn: 0.5000 0.5000 0.8659  2 Se 2.31
Re: 0.0000 0.0000 0.9981  1 Se 2.49, 4 Tc 2.74, 4 Mn 2.77
Re: 0.0000 0.5000 0.4981  1 Se 2.49, 4 Tc 2.74, 4 Mn 2.77
Tc: 0.5000 0.0000 0.6247  3 Mn 2.60-2.81, 4 Se 2.72, 4 Re 2.74, 2 Tc 2.84
Tc: 0.5000 0.5000 0.1247  3 Mn 2.60-2.81, 4 Se 2.72, 4 Re 2.74, 2 Tc 2.84
Se: 0.0000 0.0000 0.2463  2 Mn 2.31, 1 Re 2.49
Se: 0.0000 0.5000 0.7463  2 Mn 2.31, 1 Re 2.49

***

The following is a DFT calculation (PBE) of crystalline MnReTcSe at its relaxed geometry.

Output
The distance to the lowest polymorph of the same formula comes out at 119 meV/atom. The total magnetic moment is 0.00 μB/f.u. Its space group is No. 99. The raw formation energy is 0.264 eV per atom. The value obtained for the density of states at the Fermi level is 1.992 states/eV/cell.

abc: 2.9423 2.9423 6.4206
angles: 90.00 90.00 90.00
Last column: nearest neighbours and their distance in Å.
Fractional coordinates of all 4 atoms:
Mn: 0.0000 0.0000 0.8131  4 Re 2.58, 4 Tc 2.62
Re: 0.5000 0.5000 0.5751  4 Mn 2.58, 4 Se 2.70
Tc: 0.5000 0.5000 0.0614  4 Se 2.61, 4 Mn 2.62
Se: 0.0000 0.0000 0.3077  4 Tc 2.61, 4 Re 2.70

***

The following is a DFT calculation (PBE) of crystalline MnReTcSe at its relaxed geometry.

Output
The distance to the lowest polymorph of the same formula comes out at 81 meV/atom. The total magnetic moment is 0.00 μB/f.u. Its space group is No. 38. The raw formation energy is 0.226 eV per atom. The value obtained for the density of states at the Fermi level is 9.384 states/eV/cell.

abc: 2.8265 2.8800 14.3222
angles: 90.00 90.00 90.00
Last column: nearest neighbours and their distance in Å.
Fractional coordinates of all 8 atoms:
Mn: 0.0000 0.0000 0.8641  4 Se 2.44, 4 Re 2.72
Mn: 0.0000 0.5000 0.3641  4 Se 2.44, 4 Re 2.72
Re: 0.5000 0.0000 0.4911  4 Tc 2.65, 4 Mn 2.72, 4 Re 2.83-2.88
Re: 0.5000 0.5000 0.9911  4 Tc 2.65, 4 Mn 2.72, 4 Re 2.83-2.88
Tc: 0.0000 0.0000 0.1114  4 Re 2.65, 2 Se 2.66, 4 Tc 2.83-2.88
Tc: 0.0000 0.5000 0.6114  4 Re 2.65, 2 Se 2.66, 4 Tc 2.83-2.88
Se: 0.5000 0.0000 0.2685  4 Mn 2.44, 2 Tc 2.66
Se: 0.5000 0.5000 0.7685  4 Mn 2.44, 2 Tc 2.66

***

The following is a DFT calculation (PBE) of crystalline MnReTcSe at its relaxed geometry.

Output
The distance to the lowest polymorph of the same formula comes out at 31 meV/atom. The total magnetic moment is 2.99 μB/f.u. Its space group is No. 38. The raw formation energy is 0.177 eV per atom. The value obtained for the density of states at the Fermi level is 5.113 states/eV/cell.

abc: 2.9257 2.9594 14.3506
angles: 90.00 90.00 90.00
Last column: nearest neighbours and their distance in Å.
Fractional coordinates of all 8 atoms:
Re: 0.0000 0.0000 0.4978  4 Mn 2.65, 4 Tc 2.72, 4 Re 2.93-2.96
Re: 0.0000 0.5000 0.9978  4 Mn 2.65, 4 Tc 2.72, 4 Re 2.93-2.96
Mn: 0.5000 0.0000 0.8834  2 Se 2.60, 4 Re 2.65
Mn: 0.5000 0.5000 0.3834  2 Se 2.60, 4 Re 2.65
Tc: 0.5000 0.0000 0.1202  4 Se 2.64, 4 Re 2.72, 4 Tc 2.93-2.96
Tc: 0.5000 0.5000 0.6202  4 Se 2.64, 4 Re 2.72, 4 Tc 2.93-2.96
Se: 0.0000 0.0000 0.7337  2 Mn 2.60, 4 Tc 2.64
Se: 0.0000 0.5000 0.2337  2 Mn 2.60, 4 Tc 2.64

***

The following is a DFT calculation (PBE) of crystalline MnReTcSe at its relaxed geometry.

Output
The distance to the lowest polymorph of the same formula comes out at 51 meV/atom. The total magnetic moment is 0.89 μB/f.u. Its space group is No. 160. The raw formation energy is 0.197 eV per atom. The value obtained for the density of states at the Fermi level is 11.197 states/eV/cell.

abc: 2.8455 2.8455 24.3628
angles: 90.00 90.00 120.00
Last column: nearest neighbours and their distance in Å.
Fractional coordinates of all 12 atoms:
Mn: 0.0000 0.0000 0.5787  3 Se 2.50, 3 Re 2.59
Mn: 0.3333 0.6667 0.2454  3 Se 2.50, 3 Re 2.59
Mn: 0.6667 0.3333 0.9120  3 Se 2.50, 3 Re 2.59
Re: 0.0000 0.0000 0.9941  3 Mn 2.59, 3 Tc 2.71, 6 Re 2.85
Re: 0.3333 0.6667 0.6608  3 Mn 2.59, 3 Tc 2.71, 6 Re 2.85
Re: 0.6667 0.3333 0.3275  3 Mn 2.59, 3 Tc 2.71, 6 Re 2.85
Tc: 0.0000 0.0000 0.7494  3 Se 2.65, 3 Re 2.71, 6 Tc 2.85
Tc: 0.3333 0.6667 0.4160  3 Se 2.65, 3 Re 2.71, 6 Tc 2.85
Tc: 0.6667 0.3333 0.0827  3 Se 2.65, 3 Re 2.71, 6 Tc 2.85
Se: 0.0000 0.0000 0.1678  3 Mn 2.50, 3 Tc 2.65
Se: 0.3333 0.6667 0.8345  3 Mn 2.50, 3 Tc 2.65
Se: 0.6667 0.3333 0.5011  3 Mn 2.50, 3 Tc 2.65

***

The following is a DFT calculation (PBE) of crystalline MnReTcSe at its relaxed geometry.

Output
The distance to the lowest polymorph of the same formula comes out at 124 meV/atom. The total magnetic moment is 1.23 μB/f.u. Its space group is No. 44. The raw formation energy is 0.270 eV per atom. The value obtained for the density of states at the Fermi level is 4.815 states/eV/cell.

abc: 2.9521 4.3332 8.7433
angles: 90.00 90.00 90.00
Last column: nearest neighbours and their distance in Å.
Fractional coordinates of all 8 atoms:
Mn: 0.0000 0.5000 0.8727  2 Se 2.41, 4 Re 2.65
Mn: 0.5000 0.0000 0.3727  2 Se 2.41, 4 Re 2.65
Re: 0.0000 0.5000 0.3287  2 Se 2.56, 4 Mn 2.65, 2 Tc 2.78
Re: 0.5000 0.0000 0.8287  2 Se 2.56, 4 Mn 2.65, 2 Tc 2.78
Tc: 0.0000 0.0000 0.0979  4 Se 2.62, 2 Re 2.78, 4 Mn 2.82-2.93
Tc: 0.5000 0.5000 0.5979  4 Se 2.62, 2 Re 2.78, 4 Mn 2.82-2.93
Se: 0.0000 0.0000 0.5901  2 Mn 2.41, 2 Re 2.56, 4 Tc 2.62
Se: 0.5000 0.5000 0.0901  2 Mn 2.41, 2 Re 2.56, 4 Tc 2.62

***

The following is a DFT calculation (PBE) of crystalline MnReTcSe at its relaxed geometry.

Output
The distance to the lowest polymorph of the same formula comes out at 105 meV/atom. The total magnetic moment is 2.78 μB/f.u. Its space group is No. 38. The raw formation energy is 0.251 eV per atom. The value obtained for the density of states at the Fermi level is 7.789 states/eV/cell.

abc: 3.7470 2.9540 10.8646
angles: 90.00 90.02 90.00
Last column: nearest neighbours and their distance in Å.
Fractional coordinates of all 8 atoms:
Mn: 0.2636 0.0000 0.7573  4 Se 2.58, 1 Tc 2.70, 4 Re 2.81
Mn: 0.2636 0.5000 0.2573  4 Se 2.58, 1 Tc 2.70, 4 Re 2.81
Re: 0.7636 0.0000 0.1213  1 Se 2.46, 4 Tc 2.68
Re: 0.7636 0.5000 0.6213  1 Se 2.46, 4 Tc 2.68
Tc: 0.2635 0.0000 0.5087  2 Se 2.56, 4 Re 2.68, 1 Mn 2.70
Tc: 0.2635 0.5000 0.0087  2 Se 2.56, 4 Re 2.68, 1 Mn 2.70
Se: 0.7634 0.0000 0.3478  1 Re 2.46, 2 Tc 2.56, 4 Mn 2.58
Se: 0.7634 0.5000 0.8478  1 Re 2.46, 2 Tc 2.56, 4 Mn 2.58

***

The following is a DFT calculation (PBE) of crystalline MnReTcSe at its relaxed geometry.

Output
The distance to the lowest polymorph of the same formula comes out at 113 meV/atom. The total magnetic moment is 0.06 μB/f.u. Its space group is No. 8. The raw formation energy is 0.259 eV per atom. The value obtained for the density of states at the Fermi level is 6.870 states/eV/cell.

abc: 4.3493 2.8852 10.1532
angles: 90.00 115.24 90.00
Last column: nearest neighbours and their distance in Å.
Fractional coordinates of all 8 atoms:
Mn: 0.6496 0.0000 0.6916  2 Se 2.33, 2 Re 2.59, 2 Tc 2.60
Mn: 0.6496 0.5000 0.1916  2 Se 2.33, 2 Re 2.59, 2 Tc 2.60
Re: 0.6449 0.0000 0.4029  1 Se 2.51, 2 Mn 2.59, 4 Tc 2.70-2.71
Re: 0.6449 0.5000 0.9029  1 Se 2.51, 2 Mn 2.59, 4 Tc 2.70-2.71
Tc: 0.2202 0.0000 0.9800  1 Se 2.49, 2 Mn 2.60, 4 Re 2.70-2.71
Tc: 0.2202 0.5000 0.4800  1 Se 2.49, 2 Mn 2.60, 4 Re 2.70-2.71
Se: 0.0692 0.0000 0.1905  2 Mn 2.33, 1 Tc 2.49, 1 Re 2.51
Se: 0.0692 0.5000 0.6905  2 Mn 2.33, 1 Tc 2.49, 1 Re 2.51

***

The following is a DFT calculation (PBE) of crystalline MnReTcSe at its relaxed geometry.

Output
The distance to the lowest polymorph of the same formula comes out at 294 meV/atom. The total magnetic moment is 0.01 μB/f.u. Its space group is No. 38. The raw formation energy is 0.439 eV per atom. The value obtained for the density of states at the Fermi level is 7.991 states/eV/cell.

abc: 2.9212 3.8940 10.5156
angles: 90.00 90.00 90.00
Last column: nearest neighbours and their distance in Å.
Fractional coordinates of all 8 atoms:
Mn: 0.5000 0.0000 0.9981  1 Se 2.36, 4 Re 2.49, 2 Tc 2.54
Mn: 0.5000 0.5000 0.4981  1 Se 2.36, 4 Re 2.49, 2 Tc 2.54
Re: 0.0000 0.0000 0.4491  4 Mn 2.49, 1 Tc 2.67
Re: 0.0000 0.5000 0.9491  4 Mn 2.49, 1 Tc 2.67
Tc: 0.0000 0.0000 0.1952  2 Mn 2.54, 4 Se 2.57, 1 Re 2.67
Tc: 0.0000 0.5000 0.6952  2 Mn 2.54, 4 Se 2.57, 1 Re 2.67
Se: 0.5000 0.0000 0.7735  1 Mn 2.36, 4 Tc 2.57
Se: 0.5000 0.5000 0.2735  1 Mn 2.36, 4 Tc 2.57

***

The following is a DFT calculation (PBE) of crystalline MnReTcSe at its relaxed geometry.

Output
The distance to the lowest polymorph of the same formula comes out at 47 meV/atom. The total magnetic moment is 1.28 μB/f.u. Its space group is No. 6. The raw formation energy is 0.192 eV per atom. The value obtained for the density of states at the Fermi level is 3.271 states/eV/cell.

abc: 4.5025 2.9122 4.4877
angles: 90.00 103.14 90.00
Last column: nearest neighbours and their distance in Å.
Fractional coordinates of all 4 atoms:
Mn: 0.6523 0.0000 0.9799  2 Se 2.40
Re: 0.1798 0.5000 0.0876  1 Se 2.45, 2 Tc 2.71, 4 Mn 2.71-2.73
Tc: 0.0417 0.0000 0.5663  2 Se 2.46, 2 Re 2.71
Se: 0.5963 0.5000 0.5452  2 Mn 2.40, 1 Re 2.45, 2 Tc 2.46

***

The following is a DFT calculation (PBE) of crystalline MnReTcSe at its relaxed geometry.

Output
The distance to the lowest polymorph of the same formula comes out at 114 meV/atom. The total magnetic moment is 2.62 μB/f.u. Its space group is No. 8. The raw formation energy is 0.260 eV per atom. The value obtained for the density of states at the Fermi level is 6.514 states/eV/cell.

abc: 3.8534 2.9346 10.5725
angles: 90.00 90.12 90.00
Last column: nearest neighbours and their distance in Å.
Fractional coordinates of all 8 atoms:
Mn: 0.3507 0.0000 0.3575  4 Se 2.59-2.60, 1 Re 2.67, 4 Tc 2.84-2.85
Mn: 0.3507 0.5000 0.8575  4 Se 2.59-2.60, 1 Re 2.67, 4 Tc 2.84-2.85
Re: 0.3515 0.0000 0.6097  2 Se 2.56, 1 Mn 2.67, 4 Tc 2.69
Re: 0.3515 0.5000 0.1097  2 Se 2.56, 1 Mn 2.67, 4 Tc 2.69
Tc: 0.8510 0.0000 0.9986  1 Se 2.43, 4 Re 2.69
Tc: 0.8510 0.5000 0.4986  1 Se 2.43, 4 Re 2.69
Se: 0.8520 0.0000 0.7692  1 Tc 2.43, 2 Re 2.56, 4 Mn 2.59-2.60
Se: 0.8520 0.5000 0.2692  1 Tc 2.43, 2 Re 2.56, 4 Mn 2.59-2.60

***

The following is a DFT calculation (PBE) of crystalline MnReTcSe at its relaxed geometry.

Output
The distance to the lowest polymorph of the same formula comes out at 0 meV/atom. The total magnetic moment is 2.87 μB/f.u. Its space group is No. 44. The raw formation energy is 0.146 eV per atom. The value obtained for the density of states at the Fermi level is 5.582 states/eV/cell.

abc: 2.9675 3.0037 14.7144
angles: 90.00 101.63 90.00
Last column: nearest neighbours and their distance in Å.
Fractional coordinates of all 8 atoms:
Mn: 0.6673 0.0000 0.8823  2 Se 2.43, 4 Re 2.69
Mn: 0.6673 0.5000 0.3823  2 Se 2.43, 4 Re 2.69
Re: 0.2824 0.0000 0.4974  4 Tc 2.63, 4 Mn 2.69
Re: 0.2824 0.5000 0.9974  4 Tc 2.63, 4 Mn 2.69
Tc: 0.8912 0.0000 0.1063  2 Se 2.55, 4 Re 2.63
Tc: 0.8912 0.5000 0.6063  2 Se 2.55, 4 Re 2.63
Se: 0.0343 0.0000 0.7490  2 Mn 2.43, 2 Tc 2.55
Se: 0.0343 0.5000 0.2490  2 Mn 2.43, 2 Tc 2.55

***

The following is a DFT calculation (PBE) of crystalline MnReTcSe at its relaxed geometry.

Output
The distance to the lowest polymorph of the same formula comes out at 43 meV/atom. The total magnetic moment is 0.00 μB/f.u. Its space group is No. 107. The raw formation energy is 0.188 eV per atom. The value obtained for the density of states at the Fermi level is 7.247 states/eV/cell.

abc: 2.9615 2.9615 14.0672
angles: 90.00 90.00 90.00
Last column: nearest neighbours and their distance in Å.
Fractional coordinates of all 8 atoms:
Mn: 0.0000 0.0000 0.3976  1 Se 2.40, 4 Re 2.45
Mn: 0.5000 0.5000 0.8976  1 Se 2.40, 4 Re 2.45
Re: 0.0000 0.0000 0.9880  4 Mn 2.45
Re: 0.5000 0.5000 0.4880  4 Mn 2.45
Tc: 0.0000 0.0000 0.6221  4 Se 2.56, 4 Re 2.82
Tc: 0.5000 0.5000 0.1221  4 Se 2.56, 4 Re 2.82
Se: 0.0000 0.0000 0.2273  1 Mn 2.40, 4 Tc 2.56
Se: 0.5000 0.5000 0.7273  1 Mn 2.40, 4 Tc 2.56